No. 1
{
  "formula": "MgSb",
  "functional": "GGA-PBE",
  "state": "relaxed",
  "crystal_system": "trigonal",
  "m_tot_mub_per_cell": 0.0,
  "raw_formation_energy_mev_per_atom": -194.8,
  "lattice": [[3.814, 0.000, 0.000], [-1.907, 3.303, 0.000], [0.000, 0.000, 12.144]],
  "species": ["Mg", "Mg", "Mg", "Sb", "Sb", "Sb"],
  "frac_coords": [[0.000, 0.000, 0.000], [0.333, 0.667, 0.667], [0.667, 0.333, 0.333], [0.000, 0.000, 0.500], [0.333, 0.667, 0.167], [0.667, 0.333, 0.833]]
}

No. 2
{
  "formula": "MgSb2",
  "functional": "GGA-PBE",
  "state": "relaxed",
  "crystal_system": "cubic",
  "m_tot_mub_per_cell": 0.0,
  "raw_formation_energy_mev_per_atom": 205.3,
  "lattice": [[0.000, 4.425, 4.425], [4.425, 0.000, 4.425], [4.425, 4.425, 0.000]],
  "species": ["Mg", "Mg", "Sb", "Sb", "Sb", "Sb"],
  "frac_coords": [[0.125, 0.125, 0.125], [0.875, 0.875, 0.875], [0.000, 0.500, 0.500], [0.500, 0.000, 0.500], [0.500, 0.500, 0.000], [0.500, 0.500, 0.500]]
}

No. 3
{
  "formula": "MgSb3",
  "functional": "GGA-PBE",
  "state": "relaxed",
  "crystal_system": "monoclinic",
  "m_tot_mub_per_cell": 0.0,
  "raw_formation_energy_mev_per_atom": -45.2,
  "lattice": [[3.216, 0.000, 0.000], [0.000, 4.097, 0.000], [-0.163, 0.000, 8.282]],
  "species": ["Mg", "Sb", "Sb", "Sb"],
  "frac_coords": [[0.000, 0.000, 0.000], [0.498, 0.500, 0.218], [0.500, 0.000, 0.500], [0.502, 0.500, 0.782]]
}

No. 4
{
  "formula": "MgSb",
  "functional": "GGA-PBE",
  "state": "relaxed",
  "crystal_system": "orthorhombic",
  "m_tot_mub_per_cell": 0.0,
  "raw_formation_energy_mev_per_atom": -143.7,
  "lattice": [[5.487, 0.000, 0.000], [0.000, 16.499, 0.000], [0.000, 0.000, 3.252]],
  "species": ["Mg", "Mg", "Mg", "Mg", "Mg", "Mg", "Sb", "Sb", "Sb", "Sb", "Sb", "Sb"],
  "frac_coords": [[0.250, 0.083, 0.021], [0.250, 0.417, 0.021], [0.250, 0.750, 0.949], [0.750, 0.250, 0.051], [0.750, 0.583, 0.979], [0.750, 0.917, 0.979], [0.250, 0.250, 0.574], [0.250, 0.584, 0.460], [0.250, 0.916, 0.460], [0.750, 0.084, 0.540], [0.750, 0.416, 0.540], [0.750, 0.750, 0.426]]
}

No. 5
{
  "formula": "MgSb3",
  "functional": "GGA-PBE",
  "state": "relaxed",
  "crystal_system": "orthorhombic",
  "m_tot_mub_per_cell": 0.0,
  "raw_formation_energy_mev_per_atom": -66.5,
  "lattice": [[4.030, 0.000, 0.000], [0.000, 6.067, 0.000], [0.000, 0.000, 4.728]],
  "species": ["Mg", "Sb", "Sb", "Sb"],
  "frac_coords": [[0.000, 0.000, 0.000], [0.000, 0.500, 0.990], [0.500, 0.000, 0.505], [0.500, 0.500, 0.424]]
}

No. 6
{
  "formula": "MgSb2",
  "functional": "GGA-PBE",
  "state": "relaxed",
  "crystal_system": "monoclinic",
  "m_tot_mub_per_cell": 0.0,
  "raw_formation_energy_mev_per_atom": -57.3,
  "lattice": [[12.352, 0.000, 0.000], [0.000, 3.211, 0.000], [-1.048, 0.000, 4.107]],
  "species": ["Mg", "Mg", "Sb", "Sb", "Sb", "Sb"],
  "frac_coords": [[0.000, 0.000, 0.000], [0.500, 0.500, 0.000], [0.135, 0.500, 0.573], [0.365, 0.000, 0.427], [0.635, 0.000, 0.573], [0.865, 0.500, 0.427]]
}

No. 7
{
  "formula": "MgSb",
  "functional": "GGA-PBE",
  "state": "relaxed",
  "crystal_system": "tetragonal",
  "m_tot_mub_per_cell": 0.0,
  "raw_formation_energy_mev_per_atom": -11.9,
  "lattice": [[11.706, 0.000, 0.000], [0.000, 11.706, 0.000], [0.000, 0.000, 3.276]],
  "species": ["Mg", "Mg", "Mg", "Mg", "Mg", "Mg", "Mg", "Mg", "Sb", "Sb", "Sb", "Sb", "Sb", "Sb", "Sb", "Sb"],
  "frac_coords": [[0.060, 0.623, 0.000], [0.171, 0.386, 0.500], [0.377, 0.060, 0.000], [0.386, 0.829, 0.500], [0.614, 0.171, 0.500], [0.623, 0.940, 0.000], [0.829, 0.614, 0.500], [0.940, 0.377, 0.000], [0.101, 0.160, 0.000], [0.160, 0.899, 0.000], [0.266, 0.615, 0.500], [0.385, 0.266, 0.500], [0.615, 0.734, 0.500], [0.734, 0.385, 0.500], [0.840, 0.101, 0.000], [0.899, 0.840, 0.000]]
}

No. 8
{
  "formula": "MgSb",
  "functional": "GGA-PBE",
  "state": "relaxed",
  "crystal_system": "orthorhombic",
  "m_tot_mub_per_cell": 0.0,
  "raw_formation_energy_mev_per_atom": -238.8,
  "lattice": [[6.290, 0.000, 0.000], [0.000, 4.631, 0.000], [0.000, 0.000, 8.158]],
  "species": ["Mg", "Mg", "Mg", "Mg", "Sb", "Sb", "Sb", "Sb"],
  "frac_coords": [[0.150, 0.250, 0.128], [0.350, 0.750, 0.628], [0.650, 0.250, 0.372], [0.850, 0.750, 0.872], [0.139, 0.250, 0.778], [0.361, 0.750, 0.278], [0.639, 0.250, 0.722], [0.861, 0.750, 0.222]]
}

No. 9
{
  "formula": "Mg3Sb2",
  "functional": "GGA-PBE",
  "state": "relaxed",
  "crystal_system": "cubic",
  "m_tot_mub_per_cell": 0.0,
  "raw_formation_energy_mev_per_atom": -376.5,
  "lattice": [[-6.712, 6.712, 6.712], [6.712, -6.712, 6.712], [6.712, 6.712, -6.712]],
  "species": ["Mg", "Mg", "Mg", "Mg", "Mg", "Mg", "Mg", "Mg", "Mg", "Mg", "Mg", "Mg", "Mg", "Mg", "Mg", "Mg", "Mg", "Mg", "Mg", "Mg", "Mg", "Mg", "Mg", "Mg", "Sb", "Sb", "Sb", "Sb", "Sb", "Sb", "Sb", "Sb", "Sb", "Sb", "Sb", "Sb", "Sb", "Sb", "Sb", "Sb"],
  "frac_coords": [[0.006, 0.022, 0.262], [0.017, 0.494, 0.756], [0.022, 0.262, 0.006], [0.238, 0.261, 0.744], [0.239, 0.478, 0.483], [0.244, 0.983, 0.506], [0.256, 0.762, 0.739], [0.261, 0.744, 0.238], [0.262, 0.006, 0.022], [0.478, 0.483, 0.239], [0.483, 0.239, 0.478], [0.494, 0.756, 0.017], [0.506, 0.244, 0.983], [0.517, 0.761, 0.522], [0.522, 0.517, 0.761], [0.738, 0.994, 0.978], [0.739, 0.256, 0.762], [0.744, 0.238, 0.261], [0.756, 0.017, 0.494], [0.761, 0.522, 0.517], [0.762, 0.739, 0.256], [0.978, 0.738, 0.994], [0.983, 0.506, 0.244], [0.994, 0.978, 0.738], [0.000, 0.000, 0.500], [0.000, 0.500, 0.000], [0.015, 0.750, 0.765], [0.235, 0.985, 0.250], [0.250, 0.235, 0.985], [0.250, 0.735, 0.485], [0.265, 0.515, 0.750], [0.485, 0.250, 0.735], [0.500, 0.000, 0.000], [0.500, 0.500, 0.500], [0.515, 0.750, 0.265], [0.735, 0.485, 0.250], [0.750, 0.265, 0.515], [0.750, 0.765, 0.015], [0.765, 0.015, 0.750], [0.985, 0.250, 0.235]]
}

No. 10
{
  "formula": "MgSb4",
  "functional": "GGA-PBE",
  "state": "relaxed",
  "crystal_system": "tetragonal",
  "m_tot_mub_per_cell": 0.0,
  "raw_formation_energy_mev_per_atom": 160.9,
  "lattice": [[6.021, 0.000, 0.000], [0.000, 6.021, 0.000], [0.000, 0.000, 8.747]],
  "species": ["Mg", "Mg", "Sb", "Sb", "Sb", "Sb", "Sb", "Sb", "Sb", "Sb"],
  "frac_coords": [[0.000, 0.000, 0.000], [0.500, 0.500, 0.500], [0.000, 0.000, 0.324], [0.000, 0.000, 0.676], [0.000, 0.500, 0.250], [0.000, 0.500, 0.750], [0.500, 0.000, 0.250], [0.500, 0.000, 0.750], [0.500, 0.500, 0.176], [0.500, 0.500, 0.824]]
}

No. 11
{
  "formula": "Mg7Sb",
  "functional": "GGA-PBE",
  "state": "relaxed",
  "crystal_system": "cubic",
  "m_tot_mub_per_cell": 0.0,
  "raw_formation_energy_mev_per_atom": -74.8,
  "lattice": [[0.000, 4.518, 4.518], [4.518, 0.000, 4.518], [4.518, 4.518, 0.000]],
  "species": ["Mg", "Mg", "Mg", "Mg", "Mg", "Mg", "Mg", "Sb"],
  "frac_coords": [[0.000, 0.000, 0.000], [0.000, 0.000, 0.500], [0.000, 0.500, 0.000], [0.000, 0.500, 0.500], [0.500, 0.000, 0.000], [0.500, 0.000, 0.500], [0.500, 0.500, 0.000], [0.500, 0.500, 0.500]]
}

No. 12
{
  "formula": "MgSb3",
  "functional": "GGA-PBE",
  "state": "relaxed",
  "crystal_system": "cubic",
  "m_tot_mub_per_cell": 0.0,
  "raw_formation_energy_mev_per_atom": 87.4,
  "lattice": [[4.724, 0.000, 0.000], [0.000, 4.724, 0.000], [0.000, 0.000, 4.724]],
  "species": ["Mg", "Sb", "Sb", "Sb"],
  "frac_coords": [[0.000, 0.000, 0.000], [0.000, 0.500, 0.500], [0.500, 0.000, 0.500], [0.500, 0.500, 0.000]]
}